Computed, not measured: a geometry-optimized Mg7Ag2Au2 structure at the PBE level of DFT.

## Properties
Energy above the most stable polymorph in this dataset, meV/atom: 0
Space-group type: Imm2 (44)
Volume, Å³/f.u.: 215.40
Energy, eV/cell: -27.3
ΔH_f (0 K), meV/atom: -354.7

a = 4.521 Å, b = 7.624 Å, c = 7.661 Å
α = 119.84°, β = 107.16°, γ = 90.00°
Positions (direct):
Mg: 0.360 0.488 0.719
Mg: 0.500 0.975 0.000
Mg: 0.859 0.179 0.719
Ag: 0.500 0.343 0.000
Mg: 0.640 0.769 0.281
Mg: 0.835 0.735 0.671
Au: 0.707 0.308 0.414
Mg: 0.141 0.460 0.281
Ag: 0.000 0.640 0.000
Mg: 0.165 0.064 0.329
Au: 0.293 0.894 0.586

Computed, not measured: a geometry-optimized Mg2Ag3Au7 structure at the PBE level of DFT.

## Properties
Space-group type: P2/m (10)
Volume, Å³/f.u.: 235.52
Energy, eV/cell: -35.8
ΔH_f (0 K), meV/atom: -96.5

a = 3.495 Å, b = 4.292 Å, c = 15.853 Å
α = 97.88°, β = 90.00°, γ = 90.00°
Positions (direct):
Au: 0.500 0.278 0.556
Au: 0.000 0.573 0.147
Ag: 0.000 0.195 0.390
Mg: 0.500 0.639 0.280
Au: 0.500 0.080 0.161
Au: 0.000 0.427 0.853
Ag: 0.000 0.805 0.610
Au: 0.000 0.000 0.000
Au: 0.500 0.920 0.839
Mg: 0.500 0.361 0.720
Ag: 0.500 0.500 0.000
Au: 0.500 0.722 0.444

Computed, not measured: a geometry-optimized MgAg3Au2 structure at the PBE level of DFT.

## Properties
Energy above the most stable polymorph in this dataset, meV/atom: 122
Space-group type: C2/m (12)
Volume, Å³/f.u.: 111.03
Energy, eV/cell: -34.3
ΔH_f (0 K), meV/atom: -76.8

a = 2.918 Å, b = 8.340 Å, c = 9.759 Å
α = 108.77°, β = 98.60°, γ = 90.00°
Positions (direct):
Ag: 0.560 0.444 0.121
Ag: 0.069 0.767 0.138
Au: 0.306 0.626 0.613
Mg: 0.326 0.962 0.652
Ag: 0.696 0.731 0.392
Mg: 0.674 0.038 0.348
Ag: 0.440 0.556 0.879
Au: 0.067 0.133 0.135
Ag: 0.304 0.269 0.608
Au: 0.933 0.867 0.865
Au: 0.694 0.374 0.387
Ag: 0.931 0.233 0.862

Computed, not measured: a geometry-optimized Mg4Ag5Au structure at the PBE level of DFT.

## Properties
Space-group type: C2/m (12)
Volume, Å³/f.u.: 182.13
Energy, eV/cell: -26.5
ΔH_f (0 K), meV/atom: -259.7

a = 4.627 Å, b = 5.733 Å, c = 7.564 Å
α = 106.72°, β = 107.81°, γ = 90.00°
Positions (direct):
Ag: 0.894 0.599 0.787
Ag: 0.106 0.401 0.213
Ag: 0.706 0.803 0.412
Mg: 0.305 0.706 0.611
Au: 0.500 0.000 0.000
Mg: 0.094 0.883 0.187
Mg: 0.695 0.294 0.389
Ag: 0.500 0.500 0.000
Mg: 0.906 0.117 0.813
Ag: 0.294 0.197 0.588

Computed, not measured: a geometry-optimized MgAg6Au structure at the PBE level of DFT.

## Properties
Energy above the most stable polymorph in this dataset, meV/atom: 0
Space-group type: P4/mmm (123)
Volume, Å³/f.u.: 143.73
Energy, eV/cell: -22.6
ΔH_f (0 K), meV/atom: -80.9

a = 3.996 Å, b = 5.997 Å, c = 5.997 Å
α = 90.00°, β = 90.00°, γ = 90.00°
Positions (direct):
Au: 0.500 0.500 0.500
Ag: 0.000 0.752 0.752
Ag: 0.500 0.000 0.500
Ag: 0.000 0.248 0.752
Ag: 0.000 0.752 0.248
Ag: 0.500 0.500 0.000
Ag: 0.000 0.248 0.248
Mg: 0.500 0.000 0.000

Computed, not measured: a geometry-optimized Mg4Ag2Au3 structure at the PBE level of DFT.

## Properties
Space-group type: C2/m (12)
Volume, Å³/f.u.: 163.21
Energy, eV/cell: -25.7
ΔH_f (0 K), meV/atom: -418.6

a = 4.447 Å, b = 4.790 Å, c = 8.706 Å
α = 84.25°, β = 90.00°, γ = 62.35°
Positions (direct):
Mg: 0.339 0.322 0.107
Au: 0.000 0.000 0.000
Ag: 0.320 0.360 0.773
Mg: 0.985 0.030 0.669
Ag: 0.680 0.640 0.227
Mg: 0.661 0.678 0.893
Mg: 0.015 0.970 0.331
Au: 0.340 0.320 0.430
Au: 0.660 0.680 0.570

Computed, not measured: a geometry-optimized MgAg2Au3 structure at the PBE level of DFT.

## Properties
Energy above the most stable polymorph in this dataset, meV/atom: 10
Space-group type: Cmmm (65)
Volume, Å³/f.u.: 107.44
Energy, eV/cell: -37.2
ΔH_f (0 K), meV/atom: -244.6

a = 4.252 Å, b = 6.696 Å, c = 7.959 Å
α = 90.00°, β = 90.00°, γ = 71.49°
Positions (direct):
Au: 0.170 0.661 0.763
Au: 0.500 0.000 0.252
Au: 0.830 0.339 0.763
Au: 0.170 0.661 0.237
Ag: 0.669 0.662 0.500
Au: 0.830 0.339 0.237
Ag: 0.331 0.338 0.500
Mg: 0.659 0.682 0.000
Au: 0.500 0.000 0.748
Mg: 0.341 0.318 0.000
Ag: 0.000 0.000 0.000
Ag: 0.000 0.000 0.500

Computed, not measured: a geometry-optimized Mg4Ag7Au structure at the PBE level of DFT.

## Properties
Energy above the most stable polymorph in this dataset, meV/atom: 172
Space-group type: C2/m (12)
Volume, Å³/f.u.: 243.69
Energy, eV/cell: -29.8
ΔH_f (0 K), meV/atom: -18.2

a = 5.140 Å, b = 9.355 Å, c = 5.865 Å
α = 81.81°, β = 64.01°, γ = 74.05°
Positions (direct):
Mg: 0.779 0.656 0.785
Mg: 0.614 0.222 0.550
Ag: 0.211 0.082 0.496
Au: 0.000 0.000 0.000
Mg: 0.221 0.344 0.215
Ag: 0.789 0.918 0.504
Ag: 0.932 0.323 0.813
Ag: 0.368 0.504 0.761
Mg: 0.386 0.778 0.450
Ag: 0.632 0.496 0.239
Ag: 0.068 0.677 0.187
Ag: 0.500 0.000 0.000

Computed, not measured: a geometry-optimized Mg5Ag8Au structure at the PBE level of DFT.

## Properties
Space-group type: I-4 (82)
Volume, Å³/f.u.: 270.68
Energy, eV/cell: -35.1
ΔH_f (0 K), meV/atom: -73.6

a = 7.058 Å, b = 7.058 Å, c = 7.058 Å
α = 109.42°, β = 109.57°, γ = 109.42°
Positions (direct):
Ag: 0.935 0.068 0.653
Ag: 0.585 0.932 0.867
Ag: 0.505 0.595 0.237
Ag: 0.090 0.732 0.495
Mg: 0.500 0.000 0.500
Au: 0.250 0.500 0.750
Mg: 0.783 0.668 0.688
Mg: 0.312 0.095 0.980
Mg: 0.020 0.332 0.115
Ag: 0.133 0.718 0.065
Ag: 0.763 0.268 0.358
Ag: 0.347 0.282 0.415
Mg: 0.885 0.905 0.217
Ag: 0.642 0.405 0.910

Computed, not measured: a geometry-optimized Mg3Ag2Au3 structure at the PBE level of DFT.

## Properties
Energy above the most stable polymorph in this dataset, meV/atom: 0
Space-group type: Pmmn (59)
Volume, Å³/f.u.: 145.62
Energy, eV/cell: -46.6
ΔH_f (0 K), meV/atom: -370.6

a = 5.098 Å, b = 4.876 Å, c = 11.716 Å
α = 90.00°, β = 90.00°, γ = 89.98°
Positions (direct):
Ag: 0.149 0.250 0.131
Ag: 0.851 0.750 0.869
Au: 0.665 0.250 0.003
Au: 0.665 0.250 0.497
Au: 0.369 0.750 0.250
Mg: 0.844 0.750 0.110
Mg: 0.640 0.250 0.250
Au: 0.335 0.750 0.997
Au: 0.631 0.250 0.750
Mg: 0.844 0.750 0.390
Mg: 0.156 0.250 0.610
Mg: 0.360 0.750 0.750
Mg: 0.156 0.250 0.890
Ag: 0.149 0.250 0.369
Ag: 0.851 0.750 0.631
Au: 0.335 0.750 0.503

Computed, not measured: a geometry-optimized Mg4AgAu7 structure at the PBE level of DFT.

## Properties
Space-group type: C2/m (12)
Volume, Å³/f.u.: 240.17
Energy, eV/cell: -36.0
ΔH_f (0 K), meV/atom: -318.4

a = 5.141 Å, b = 9.017 Å, c = 5.988 Å
α = 81.28°, β = 64.58°, γ = 73.44°
Positions (direct):
Au: 0.071 0.675 0.183
Mg: 0.406 0.778 0.411
Au: 0.365 0.524 0.747
Au: 0.212 0.090 0.485
Ag: 0.000 0.000 0.000
Au: 0.929 0.325 0.817
Mg: 0.235 0.343 0.186
Au: 0.635 0.476 0.253
Mg: 0.765 0.657 0.814
Mg: 0.594 0.222 0.589
Au: 0.788 0.910 0.515
Au: 0.500 0.000 0.000

Computed, not measured: a geometry-optimized Mg2AgAu3 structure at the PBE level of DFT.

## Properties
Energy above the most stable polymorph in this dataset, meV/atom: 61
Space-group type: C2/m (12)
Volume, Å³/f.u.: 108.68
Energy, eV/cell: -36.1
ΔH_f (0 K), meV/atom: -367.0

a = 4.154 Å, b = 7.765 Å, c = 8.560 Å
α = 123.76°, β = 90.00°, γ = 105.52°
Positions (direct):
Au: 0.402 0.804 0.262
Mg: 0.418 0.836 0.762
Au: 0.760 0.520 0.638
Au: 0.598 0.196 0.738
Ag: 0.918 0.835 0.038
Mg: 0.247 0.493 0.857
Mg: 0.753 0.507 0.143
Mg: 0.582 0.164 0.238
Au: 0.921 0.841 0.541
Au: 0.240 0.480 0.362
Ag: 0.082 0.165 0.962
Au: 0.079 0.159 0.459